Entry 1:
# Cs2CuHg2Cl6 (GGA-PBE, relaxed)
data_Cs2CuHg2Cl6
_cell_length_a 14.1454
_cell_length_b 7.3782
_cell_length_c 8.1574
_cell_angle_alpha 90.00
_cell_angle_beta 118.43
_cell_angle_gamma 90.00
_symmetry_space_group_name_H-M 'C 1 2/m 1'
_symmetry_Int_Tables_number 12
_symmetry_space_group_name_Hall '-C 2y'
loop_
_atom_site_label
_atom_site_type_symbol
_atom_site_fract_x
_atom_site_fract_y
_atom_site_fract_z
Cs1 Cs 0.2287 0.0000 0.1866
Cu1 Cu 0.0000 0.0000 0.5000
Hg1 Hg 0.0617 0.5000 0.1849
Cl1 Cl 0.0380 0.2197 0.7302
Cl2 Cl 0.2387 0.0000 0.6120
# N(E_F) = 0.226 states/eV/atom
# energy relative to the elements, uncorrected = -11.2 eV per formula unit
# spin magnetization = 1.022 μB per cell

=====

Entry 2:
# SbSe2Br2 (GGA-PBE, relaxed)
data_SbSe2Br2
_cell_length_a 7.6379
_cell_length_b 7.6379
_cell_length_c 8.3184
_cell_angle_alpha 90.00
_cell_angle_beta 90.00
_cell_angle_gamma 90.00
_symmetry_space_group_name_H-M 'P 4/m b m'
_symmetry_Int_Tables_number 127
_symmetry_space_group_name_Hall '-P 4 2ab'
loop_
_atom_site_label
_atom_site_type_symbol
_atom_site_fract_x
_atom_site_fract_y
_atom_site_fract_z
Sb1 Sb 0.0000 0.0000 0.0000
Se1 Se 0.1019 0.3981 0.5000
Br1 Br 0.1844 0.3156 0.0000
# relative energy among the computed polymorphs = 0.334 eV/atom
# N(E_F) = 0.270 states/eV/atom
# energy relative to the elements, uncorrected = 0.5 eV per formula unit
# spin magnetization = 5.360 μB per cell

=====

Entry 3:
# Sm6Y8Tl (GGA-PBE, relaxed)
data_Sm6Y8Tl
_cell_length_a 9.5074
_cell_length_b 9.5074
_cell_length_c 6.3594
_cell_angle_alpha 90.00
_cell_angle_beta 90.00
_cell_angle_gamma 120.00
_symmetry_space_group_name_H-M 'P -3'
_symmetry_Int_Tables_number 147
_symmetry_space_group_name_Hall '-P 3'
loop_
_atom_site_label
_atom_site_type_symbol
_atom_site_fract_x
_atom_site_fract_y
_atom_site_fract_z
Sm1 Sm 0.0920 0.4549 0.3151
Y1 Y 0.0386 0.2636 0.8093
Y2 Y 0.3333 0.6667 0.8239
Tl1 Tl 0.0000 0.0000 0.5000
# N(E_F) = 1.263 states/eV/atom
# DFT formation energy = 0.076 eV per atom
# spin magnetization = 0.000 μB per cell

=====

Entry 4:
# TlIr2C (GGA-PBE, relaxed)
data_TlIr2C
_cell_length_a 6.5741
_cell_length_b 6.5741
_cell_length_c 5.9282
_cell_angle_alpha 90.00
_cell_angle_beta 90.00
_cell_angle_gamma 90.00
_symmetry_space_group_name_H-M 'I -4 2 d'
_symmetry_Int_Tables_number 122
_symmetry_space_group_name_Hall 'I -4 2bw'
loop_
_atom_site_label
_atom_site_type_symbol
_atom_site_fract_x
_atom_site_fract_y
_atom_site_fract_z
Tl1 Tl 0.0000 0.0000 0.0000
Ir1 Ir 0.1251 0.2500 0.6250
C1 C 0.0000 0.0000 0.5000
# relative energy among the computed polymorphs = 0.000 eV/atom
# N(E_F) = 0.423 states/eV/atom
# DFT formation energy = 0.488 eV per atom
# spin magnetization = 0.000 μB per cell

=====

Entry 5:
# Tm4Zn2Ag (GGA-PBE, relaxed)
data_Tm4Zn2Ag
_cell_length_a 4.9704
_cell_length_b 4.9704
_cell_length_c 24.0084
_cell_angle_alpha 90.00
_cell_angle_beta 90.00
_cell_angle_gamma 120.00
_symmetry_space_group_name_H-M 'R -3 m'
_symmetry_Int_Tables_number 166
_symmetry_space_group_name_Hall '-R 3 2"'
loop_
_atom_site_label
_atom_site_type_symbol
_atom_site_fract_x
_atom_site_fract_y
_atom_site_fract_z
Tm1 Tm 0.0000 0.0000 0.1203
Tm2 Tm 0.0000 0.0000 0.3716
Zn1 Zn 0.0000 0.0000 0.2493
Ag1 Ag 0.0000 0.0000 0.5000
# relative energy among the computed polymorphs = 0.000 eV/atom
# N(E_F) = 1.020 states/eV/atom
# DFT formation energy = -0.177 eV per atom
# spin magnetization = 0.000 μB per cell

=====

Entry 6:
# CaLaY2 (GGA-PBE, relaxed)
data_CaLaY2
_cell_length_a 3.7128
_cell_length_b 3.7128
_cell_length_c 10.3680
_cell_angle_alpha 90.00
_cell_angle_beta 90.00
_cell_angle_gamma 90.00
_symmetry_space_group_name_H-M 'P 4/m m m'
_symmetry_Int_Tables_number 123
_symmetry_space_group_name_Hall '-P 4 2'
loop_
_atom_site_label
_atom_site_type_symbol
_atom_site_fract_x
_atom_site_fract_y
_atom_site_fract_z
Ca1 Ca 0.0000 0.0000 0.0000
La1 La 0.0000 0.0000 0.5000
Y1 Y 0.5000 0.5000 0.2631
# relative energy among the computed polymorphs = 0.021 eV/atom
# N(E_F) = 1.958 states/eV/atom
# DFT formation energy = 0.077 eV per atom
# spin magnetization = 0.001 μB per cell

=====

Question: Which value of spin magnetization does entry 1 give?
Answer: 1.022 μB per cell

=====

Question: Among the records above, which one has the highest spin magnetization?
Answer: SbSe2Br2

=====

Question: Which formula does entry 1 have?
Answer: Cs2CuHg2Cl6